An optimized crystal structure of Pm3DyGa2. Source: Alexandria, functional GGA-PBE.

E_form ... -404 meV/atom
ΔE to the lowest computed polymorph ... 0 meV/atom
Crystal system ... orthorhombic

Structure (CIF):
```
data_Pm3DyGa2
_chemical_formula_sum 'Pm6 Dy2 Ga4'
_cell_length_a 5.108
_cell_length_b 9.639
_cell_length_c 6.633
_cell_angle_alpha 90.00
_cell_angle_beta 90.00
_cell_angle_gamma 90.00
_space_group_name_H-M_alt 'P m c 21'
_space_group_IT_number 26
_space_group_name_Hall 'P 2c -2'
loop_
_atom_site_label
_atom_site_type_symbol
_atom_site_fract_x
_atom_site_fract_y
_atom_site_fract_z
Pm1 Pm 0.000 0.049 0.000
Pm2 Pm 0.000 0.332 0.338
Pm3 Pm 0.500 0.176 0.705
Dy1 Dy 0.500 0.447 0.042
Ga1 Ga 0.000 0.353 0.816
Ga2 Ga 0.500 0.149 0.230
```

***

An optimized crystal structure of InNi2Pd. Source: Alexandria, functional GGA-PBE.

E_form ... -150 meV/atom
Crystal system ... tetragonal

Structure (CIF):
```
data_InNi2Pd
_chemical_formula_sum 'In1 Ni2 Pd1'
_cell_length_a 3.883
_cell_length_b 3.883
_cell_length_c 3.799
_cell_angle_alpha 90.00
_cell_angle_beta 90.00
_cell_angle_gamma 90.00
_space_group_name_H-M_alt 'P 4/m m m'
_space_group_IT_number 123
_space_group_name_Hall '-P 4 2'
loop_
_atom_site_label
_atom_site_type_symbol
_atom_site_fract_x
_atom_site_fract_y
_atom_site_fract_z
In1 In 0.000 0.000 0.000
Ni1 Ni 0.000 0.500 0.500
Pd1 Pd 0.500 0.500 0.000
```

***

Which of these has the highest E_form?
InNi2Pd

***

Among the records above, which one has the lowest E_form?
Pm3DyGa2

***

Among the records above, which one has the highest E_form?
InNi2Pd